{"formula": "Fe3BrF", "functional": "PBEsol", "state": "relaxed", "lattice": [[-2.1636, -3.0816, 1.7079], [2.2424, -2.7503, -2.1217], [2.7175, -0.1840, 3.1106]], "species": ["F", "Br", "Fe", "Fe", "Fe"], "fractional_positions": [[0.0000, 0.0000, 0.0000], [0.5000, 0.5000, 0.5000], [0.0000, 0.5000, 0.0000], [0.5000, 0.0000, 0.0000], [0.0000, 0.0000, 0.5000]], "total_energy_ev_per_atom": -5.58}